(1)
{
  "formula": "NaMg4In2",
  "functional": "GGA-PBE",
  "state": "optimized geometry",
  "e_form_kj_per_mol_atoms": 6.0,
  "lattice": [[-2.1691, 2.1691, 10.7343], [2.1691, -2.1691, 10.7343], [2.1691, 2.1691, -10.7343]],
  "species": ["Na", "Mg", "Mg", "Mg", "Mg", "In", "In"],
  "fractional_positions": [[0.0000, 0.0000, 0.0000], [0.1463, 0.1463, 0.0000], [0.2500, 0.7500, 0.5000], [0.7500, 0.2500, 0.5000], [0.8537, 0.8537, 0.0000], [0.3638, 0.3638, 0.0000], [0.6362, 0.6362, 0.0000]]
}

***

(2)
{
  "formula": "NaMgIn",
  "functional": "GGA-PBE",
  "state": "optimized geometry",
  "de_polymorph_ev_per_atom": 0.019,
  "e_form_kj_per_mol_atoms": -3.7,
  "lattice": [[-1.9529, 1.9529, 5.0160], [1.9529, -1.9529, 5.0160], [1.9529, 1.9529, -5.0160]],
  "species": ["Na", "Mg", "In"],
  "fractional_positions": [[0.0000, 0.0000, 0.0000], [0.3238, 0.3238, 0.0000], [0.6711, 0.6711, 0.0000]]
}

***

(3)
{
  "formula": "NaMg3In3",
  "functional": "GGA-PBE",
  "state": "optimized geometry",
  "de_polymorph_ev_per_atom": 0.000,
  "e_form_kj_per_mol_atoms": -7.7,
  "lattice": [[8.6535, 0.0000, 0.0000], [-4.3268, 7.4942, 0.0000], [0.0000, 0.0000, 5.2338]],
  "species": ["Na", "Na", "Mg", "Mg", "Mg", "Mg", "Mg", "Mg", "In", "In", "In", "In", "In", "In"],
  "fractional_positions": [[0.3333, 0.6667, 0.2500], [0.6667, 0.3333, 0.7500], [0.0264, 0.2288, 0.2500], [0.2024, 0.9736, 0.2500], [0.2288, 0.2024, 0.7500], [0.7712, 0.7976, 0.2500], [0.7976, 0.0264, 0.7500], [0.9736, 0.7712, 0.7500], [0.0866, 0.4648, 0.7500], [0.3782, 0.9134, 0.7500], [0.4648, 0.3782, 0.2500], [0.5352, 0.6218, 0.7500], [0.6218, 0.0866, 0.2500], [0.9134, 0.5352, 0.2500]]
}

***

(4)
{
  "formula": "NaMg5In3",
  "functional": "GGA-PBE",
  "state": "optimized geometry",
  "e_form_kj_per_mol_atoms": -6.2,
  "lattice": [[8.8369, 0.0000, 0.0000], [-4.4184, 7.6529, 0.0000], [0.0000, 0.0000, 6.3609]],
  "species": ["Na", "Na", "Mg", "Mg", "Mg", "Mg", "Mg", "Mg", "Mg", "Mg", "Mg", "Mg", "In", "In", "In", "In", "In", "In"],
  "fractional_positions": [[0.0000, 0.0000, 0.0000], [0.0000, 0.0000, 0.5000], [0.0000, 0.3347, 0.2500], [0.0000, 0.6653, 0.7500], [0.3333, 0.6667, 0.0000], [0.3333, 0.6667, 0.5000], [0.3347, 0.0000, 0.2500], [0.3347, 0.3347, 0.7500], [0.6653, 0.0000, 0.7500], [0.6653, 0.6653, 0.2500], [0.6667, 0.3333, 0.0000], [0.6667, 0.3333, 0.5000], [0.0000, 0.3379, 0.7500], [0.0000, 0.6621, 0.2500], [0.3379, 0.0000, 0.7500], [0.3379, 0.3379, 0.2500], [0.6621, 0.0000, 0.2500], [0.6621, 0.6621, 0.7500]]
}

***

(5)
{
  "formula": "NaMg2In",
  "functional": "GGA-PBE",
  "state": "optimized geometry",
  "e_form_kj_per_mol_atoms": 12.8,
  "lattice": [[-1.6050, 2.7429, 6.2961], [1.6050, -2.7429, 6.2961], [1.6050, 2.7429, -6.2961]],
  "species": ["Na", "Mg", "Mg", "In"],
  "fractional_positions": [[0.0000, 0.0000, 0.0000], [0.2661, 0.2661, 0.0000], [0.7339, 0.7339, 0.0000], [0.5000, 0.5000, 0.0000]]
}

***

(6)
{
  "formula": "NaMgIn4",
  "functional": "GGA-PBE",
  "state": "optimized geometry",
  "de_polymorph_ev_per_atom": 0.000,
  "e_form_kj_per_mol_atoms": -5.6,
  "lattice": [[7.2037, -1.6252, 0.0000], [7.2037, 1.6252, 0.0000], [-1.6354, 0.0000, 6.5434]],
  "species": ["Na", "Mg", "In", "In", "In", "In"],
  "fractional_positions": [[0.0000, 0.0000, 0.0000], [0.0000, 0.0000, 0.5000], [0.3338, 0.3338, 0.6654], [0.3355, 0.3355, 0.1725], [0.6645, 0.6645, 0.8275], [0.6662, 0.6662, 0.3346]]
}

***

(7)
{
  "formula": "Na2MgIn12",
  "functional": "GGA-PBE",
  "state": "optimized geometry",
  "e_form_kj_per_mol_atoms": -1.1,
  "lattice": [[6.4770, 0.0000, 0.0000], [0.0000, 6.4770, 0.0000], [0.0000, 0.0000, 20.4075]],
  "species": ["Na", "Na", "Na", "Na", "Mg", "Mg", "In", "In", "In", "In", "In", "In", "In", "In", "In", "In", "In", "In", "In", "In", "In", "In", "In", "In", "In", "In", "In", "In", "In", "In"],
  "fractional_positions": [[0.2500, 0.7500, 0.2415], [0.2500, 0.7500, 0.7585], [0.7500, 0.2500, 0.2415], [0.7500, 0.2500, 0.7585], [0.2500, 0.7500, 0.5000], [0.7500, 0.2500, 0.5000], [0.0006, 0.5006, 0.4017], [0.0006, 0.9994, 0.5983], [0.0723, 0.5723, 0.0663], [0.0723, 0.9277, 0.9337], [0.2500, 0.2500, 0.1609], [0.2500, 0.2500, 0.3018], [0.2500, 0.2500, 0.6982], [0.2500, 0.2500, 0.8391], [0.4277, 0.5723, 0.9337], [0.4277, 0.9277, 0.0663], [0.4994, 0.5006, 0.5983], [0.4994, 0.9994, 0.4017], [0.5006, 0.0006, 0.5983], [0.5006, 0.4994, 0.4017], [0.5723, 0.0723, 0.9337], [0.5723, 0.4277, 0.0663], [0.7500, 0.7500, 0.1609], [0.7500, 0.7500, 0.3018], [0.7500, 0.7500, 0.6982], [0.7500, 0.7500, 0.8391], [0.9277, 0.0723, 0.0663], [0.9277, 0.4277, 0.9337], [0.9994, 0.0006, 0.4017], [0.9994, 0.4994, 0.5983]]
}

***

(8)
{
  "formula": "Na17MgIn11",
  "functional": "GGA-PBE",
  "state": "optimized geometry",
  "e_form_kj_per_mol_atoms": -10.0,
  "lattice": [[5.8911, -8.3636, 0.0000], [5.8911, 8.3636, 0.0000], [-5.8518, 0.0000, 8.3720]],
  "species": ["Na", "Na", "Na", "Na", "Na", "Na", "Na", "Na", "Na", "Na", "Na", "Na", "Na", "Na", "Na", "Na", "Na", "Mg", "In", "In", "In", "In", "In", "In", "In", "In", "In", "In", "In"],
  "fractional_positions": [[0.0000, 0.0000, 0.0000], [0.0001, 0.0001, 0.3453], [0.0003, 0.3539, 0.0006], [0.0006, 0.3158, 0.5851], [0.0014, 0.5935, 0.3109], [0.2829, 0.6910, 0.6851], [0.3141, 0.5958, 0.9983], [0.3158, 0.0006, 0.5851], [0.3539, 0.0003, 0.0006], [0.4100, 0.7197, 0.4044], [0.4133, 0.4133, 0.7163], [0.5935, 0.0014, 0.3109], [0.5958, 0.3141, 0.9983], [0.6572, 0.6572, 0.6498], [0.6882, 0.6882, 0.2740], [0.6910, 0.2829, 0.6851], [0.7197, 0.4100, 0.4044], [0.1798, 0.1798, 0.8206], [0.0018, 0.8191, 0.6271], [0.0057, 0.6366, 0.8120], [0.1832, 0.3689, 0.3637], [0.1839, 0.8147, 0.1805], [0.3689, 0.1832, 0.3637], [0.3693, 0.3693, 0.1794], [0.6321, 0.8154, 0.9956], [0.6366, 0.0057, 0.8120], [0.8147, 0.1839, 0.1805], [0.8154, 0.6321, 0.9956], [0.8191, 0.0018, 0.6271]]
}

***

(9)
{
  "formula": "Na2MgIn2",
  "functional": "GGA-PBE",
  "state": "optimized geometry",
  "de_polymorph_ev_per_atom": 0.131,
  "e_form_kj_per_mol_atoms": 5.6,
  "lattice": [[-2.1232, 2.1232, 7.6987], [2.1232, -2.1232, 7.6987], [2.1232, 2.1232, -7.6987]],
  "species": ["Na", "Na", "Mg", "In", "In"],
  "fractional_positions": [[0.2500, 0.7500, 0.5000], [0.7500, 0.2500, 0.5000], [0.0000, 0.0000, 0.0000], [0.4065, 0.4065, 0.0000], [0.5935, 0.5935, 0.0000]]
}

***

(10)
{
  "formula": "NaNdMgIn",
  "functional": "GGA-PBE",
  "state": "optimized geometry",
  "e_form_kj_per_mol_atoms": -15.8,
  "lattice": [[0.0000, 3.7481, 3.7481], [3.7481, 0.0000, 3.7481], [3.7481, 3.7481, 0.0000]],
  "species": ["Na", "Nd", "Mg", "In"],
  "fractional_positions": [[0.0000, 0.0000, 0.0000], [0.7500, 0.7500, 0.7500], [0.2500, 0.2500, 0.2500], [0.5000, 0.5000, 0.5000]]
}

***

(11)
{
  "formula": "NaMgIn2Ni",
  "functional": "GGA-PBE",
  "state": "optimized geometry",
  "e_form_kj_per_mol_atoms": -9.7,
  "lattice": [[4.9640, 0.0000, 0.0000], [0.0000, 4.9640, 0.0000], [0.0000, 0.0000, 4.9511]],
  "species": ["Na", "Mg", "In", "In", "Ni"],
  "fractional_positions": [[0.0000, 0.0000, 0.0000], [0.5000, 0.5000, 0.0000], [0.0000, 0.5000, 0.5000], [0.5000, 0.0000, 0.5000], [0.5000, 0.5000, 0.5000]]
}

***

(12)
{
  "formula": "Na3MgIn2O6",
  "functional": "GGA-PBE",
  "state": "optimized geometry",
  "raw_formation_energy_mev_per_atom": -1658,
  "lattice": [[2.7902, -4.8337, 0.0000], [2.7902, 4.8337, 0.0000], [-1.8601, 0.0000, 5.5205]],
  "species": ["Na", "Na", "Na", "Mg", "In", "In", "O", "O", "O", "O", "O", "O"],
  "fractional_positions": [[0.0000, 0.0000, 0.0000], [0.3349, 0.6651, 0.0000], [0.6651, 0.3349, 0.0000], [0.5000, 0.5000, 0.5000], [0.1668, 0.8332, 0.5000], [0.8332, 0.1668, 0.5000], [0.1015, 0.4293, 0.2879], [0.2428, 0.2428, 0.7115], [0.4293, 0.1015, 0.2879], [0.5707, 0.8985, 0.7121], [0.7572, 0.7572, 0.2885], [0.8985, 0.5707, 0.7121]]
}

***

no.,D(E_F) (states/eV/atom)
1,0.617
2,0.281
3,0.183
4,0.507
5,0.498
6,0.397
7,0.323
8,0.411
9,0.483
10,0.685
11,0.389
12,0.855